Here is crystalline Hg2PdAu at its relaxed geometry from Alexandria via LeMat-Bulk. Energies are from PBE.

a = 7.621 Å, b = 7.621 Å, c = 6.109 Å
α = 51.41°, β = 51.41°, γ = 90.00°
Atoms (fractional coordinates):
Au1 0.000 0.000 0.000
Au2 0.750 0.250 0.500
Hg1 0.617 0.125 0.250
Hg2 0.133 0.625 0.250
Hg3 0.375 0.383 0.750
Hg4 0.875 0.867 0.750
Pd1 0.500 0.500 0.000
Pd2 0.250 0.750 0.500

- theoretical density (Mg/m³) = 14.00
- energy above the most stable polymorph in this dataset (meV per atom) = 120
- final energy (eV/atom) = -2.168
- space group = I-42d
- Fermi-level density of states (states/eV/cell) = 3.0
- E_form (eV per atom) = 0.100